{
  "formula": "Cs2SbTeF6",
  "functional": "PBE-GGA",
  "state": "relaxed",
  "lattice_angstrom": [[-3.757, 3.757, 4.464], [3.757, -3.757, 4.464], [3.757, 3.757, -4.464]],
  "species": ["Cs", "Cs", "Sb", "Te", "F", "F", "F", "F", "F", "F"],
  "fractional_positions": [[0.250, 0.750, 0.500], [0.750, 0.250, 0.500], [0.000, 0.000, 0.000], [0.500, 0.500, 0.000], [0.201, 0.201, 0.402], [0.201, 0.799, 0.000], [0.252, 0.252, 0.000], [0.748, 0.748, 0.000], [0.799, 0.201, 0.000], [0.799, 0.799, 0.598]],
  "dos_ef_per_ev_fu": 5.60,
  "final_energy_ev_per_atom": -4.15,
  "formation_energy_uncorrected_ev_per_atom": -2.131,
  "vol_a3_per_atom": 25.20
}